## CePrScHg (PBE-GGA)

Data for a relaxed CePrScHg crystal.

abc: 5.312 5.312 5.312
angles: 60.00 60.00 60.00
Atoms (fractional coordinates):
Ce (0.000, 0.000, 0.000)
Pr (0.750, 0.750, 0.750)
Sc (0.250, 0.250, 0.250)
Hg (0.500, 0.500, 0.500)

Properties
As for the space group: F-43m (216). The formation energy is 0.02 eV/f.u. The crystal system is cubic.